1.
# Hf2Nb4Al3N3 PBE optimized geometry
# - Energy: -8.874 eV per atom
data_Hf2Nb4Al3N3
_cell_length_a 9.383
_cell_length_b 5.434
_cell_length_c 14.217
_cell_angle_alpha 90.00
_cell_angle_beta 102.62
_cell_angle_gamma 90.00
_space_group_name_H-M_alt 'C 1 2/c 1'
_space_group_IT_number 15
loop_
_space_group_symop_operation_xyz
'x,y,z'
'-x,-y,-z'
'-x,y,-z+1/2'
'x,-y,z+1/2'
'x+1/2,y+1/2,z'
'-x+1/2,-y+1/2,-z'
'-x+1/2,y+1/2,-z+1/2'
'x+1/2,-y+1/2,z+1/2'
loop_
_atom_site_label
_atom_site_type_symbol
_atom_site_fract_x
_atom_site_fract_y
_atom_site_fract_z
Hf1 Hf 0.051 0.083 0.402
Nb1 Nb 0.112 0.421 0.586
Nb2 Nb 0.219 0.415 0.914
Al1 Al 0.000 0.465 0.250
Al2 Al 0.191 0.110 0.749
N1 N 0.078 0.234 0.000
N2 N 0.250 0.250 0.500



2.
# HfAlNO PBE optimized geometry
# - Energy above the most stable polymorph in this dataset: 165 meV/atom
# - Energy: -8.334 eV per atom
data_HfAlNO
_cell_length_a 4.084
_cell_length_b 4.084
_cell_length_c 5.335
_cell_angle_alpha 90.00
_cell_angle_beta 90.00
_cell_angle_gamma 90.00
_space_group_name_H-M_alt 'P 4/n m m'
_space_group_IT_number 129
loop_
_space_group_symop_operation_xyz
'x,y,z'
'-x,-y,-z'
'-y+1/2,x,z'
'y+1/2,-x,-z'
'-x+1/2,-y+1/2,z'
'x+1/2,y+1/2,-z'
'y,-x+1/2,z'
'-y,x+1/2,-z'
'x+1/2,-y,-z'
'-x+1/2,y,z'
'-y,-x,-z'
'y,x,z'
'-x,y+1/2,-z'
'x,-y+1/2,z'
'y+1/2,x+1/2,-z'
'-y+1/2,-x+1/2,z'
loop_
_atom_site_label
_atom_site_type_symbol
_atom_site_fract_x
_atom_site_fract_y
_atom_site_fract_z
Hf1 Hf 0.250 0.750 0.000
Al1 Al 0.250 0.250 0.491
N1 N 0.250 0.250 0.846
O1 O 0.250 0.750 0.500



3.
# HfAlNO PBE optimized geometry
# - Energy above the most stable polymorph in this dataset: 65 meV/atom
# - Energy: -8.434 eV per atom
data_HfAlNO
_cell_length_a 5.906
_cell_length_b 6.891
_cell_length_c 4.646
_cell_angle_alpha 90.00
_cell_angle_beta 90.00
_cell_angle_gamma 90.00
_space_group_name_H-M_alt 'P c a 21'
_space_group_IT_number 29
loop_
_space_group_symop_operation_xyz
'x,y,z'
'-x,-y,z+1/2'
'-x+1/2,y,z+1/2'
'x+1/2,-y,z'
loop_
_atom_site_label
_atom_site_type_symbol
_atom_site_fract_x
_atom_site_fract_y
_atom_site_fract_z
Hf1 Hf 0.058 0.138 0.000
Al1 Al 0.120 0.645 0.009
N1 N 0.090 0.142 0.481
O1 O 0.090 0.543 0.642



4.
# HfAlNO PBE optimized geometry
# - Energy above the most stable polymorph in this dataset: 563 meV/atom
# - Energy: -7.935 eV per atom
data_HfAlNO
_cell_length_a 3.440
_cell_length_b 3.440
_cell_length_c 7.567
_cell_angle_alpha 90.00
_cell_angle_beta 90.00
_cell_angle_gamma 90.00
_space_group_name_H-M_alt 'P 4/n m m'
_space_group_IT_number 129
loop_
_space_group_symop_operation_xyz
'x,y,z'
'-x,-y,-z'
'-y+1/2,x,z'
'y+1/2,-x,-z'
'-x+1/2,-y+1/2,z'
'x+1/2,y+1/2,-z'
'y,-x+1/2,z'
'-y,x+1/2,-z'
'x+1/2,-y,-z'
'-x+1/2,y,z'
'-y,-x,-z'
'y,x,z'
'-x,y+1/2,-z'
'x,-y+1/2,z'
'y+1/2,x+1/2,-z'
'-y+1/2,-x+1/2,z'
loop_
_atom_site_label
_atom_site_type_symbol
_atom_site_fract_x
_atom_site_fract_y
_atom_site_fract_z
Hf1 Hf 0.250 0.250 0.163
Al1 Al 0.250 0.750 0.500
N1 N 0.250 0.250 0.694
O1 O 0.250 0.750 0.000



5.
# HfAlNO PBE optimized geometry
# - Energy above the most stable polymorph in this dataset: 0 meV/atom
# - Energy: -8.498 eV per atom
data_HfAlNO
_cell_length_a 3.294
_cell_length_b 6.275
_cell_length_c 4.612
_cell_angle_alpha 90.00
_cell_angle_beta 90.00
_cell_angle_gamma 90.00
_space_group_name_H-M_alt 'P m c 21'
_space_group_IT_number 26
loop_
_space_group_symop_operation_xyz
'x,y,z'
'-x,-y,z+1/2'
'-x,y,z'
'x,-y,z+1/2'
loop_
_atom_site_label
_atom_site_type_symbol
_atom_site_fract_x
_atom_site_fract_y
_atom_site_fract_z
Hf1 Hf 0.000 0.141 0.000
Al1 Al 0.500 0.333 0.541
N1 N 0.000 0.211 0.479
O1 O 0.500 0.386 0.939



6.
# HfAlNO PBE optimized geometry
# - Energy above the most stable polymorph in this dataset: 86 meV/atom
# - Energy: -8.413 eV per atom
data_HfAlNO
_cell_length_a 3.203
_cell_length_b 6.112
_cell_length_c 5.017
_cell_angle_alpha 90.00
_cell_angle_beta 90.00
_cell_angle_gamma 90.00
_space_group_name_H-M_alt 'P m c 21'
_space_group_IT_number 26
loop_
_space_group_symop_operation_xyz
'x,y,z'
'-x,-y,z+1/2'
'-x,y,z'
'x,-y,z+1/2'
loop_
_atom_site_label
_atom_site_type_symbol
_atom_site_fract_x
_atom_site_fract_y
_atom_site_fract_z
Hf1 Hf 0.000 0.137 0.000
Al1 Al 0.500 0.351 0.562
N1 N 0.500 0.362 0.941
O1 O 0.000 0.236 0.455